a:
The following is a DFT calculation (PBE) of a relaxed structure of HfCuSiTc.

- Symmetry: F-43m, No. 216

a = 4.4281 Å, b = 4.4281 Å, c = 4.4281 Å
α = 60.00°, β = 60.00°, γ = 60.00°
With the nearest neighbours (Å) after each atom.
Positions (direct):
1 Si 0.0000 0.0000 0.0000  4 Hf 2.71, 4 Cu 2.71
2 Cu 0.7500 0.7500 0.7500  4 Tc 2.71, 4 Si 2.71
3 Hf 0.2500 0.2500 0.2500  4 Tc 2.71, 4 Si 2.71
4 Tc 0.5000 0.5000 0.5000  4 Hf 2.71, 4 Cu 2.71

***

b:
The following is a DFT calculation (PBE) of a relaxed structure of HfCuSiTc.

- Symmetry: F-43m, No. 216

a = 4.3791 Å, b = 4.3791 Å, c = 4.3791 Å
α = 60.00°, β = 60.00°, γ = 60.00°
With the nearest neighbours (Å) after each atom.
Positions (direct):
1 Tc 0.2500 0.2500 0.2500  4 Hf 2.68, 4 Si 2.68
2 Si 0.0000 0.0000 0.0000  4 Cu 2.68, 4 Tc 2.68
3 Hf 0.5000 0.5000 0.5000  4 Tc 2.68, 4 Cu 2.68
4 Cu 0.7500 0.7500 0.7500  4 Si 2.68, 4 Hf 2.68

***

Relative energies in meV/atom: a 301; b 0

***

a:
The following is a DFT calculation (PBE) of a relaxed structure of HfCuTc.

- Symmetry: F-43m, No. 216

a = 4.2023 Å, b = 4.2023 Å, c = 4.2023 Å
α = 60.00°, β = 60.00°, γ = 60.00°
With the nearest neighbours (Å) after each atom.
Positions (direct):
1 Cu 0.0000 0.0000 0.0000  4 Tc 2.57, 4 Hf 2.57
2 Tc 0.7500 0.7500 0.7500  4 Cu 2.57
3 Hf 0.2500 0.2500 0.2500  4 Cu 2.57

***

b:
The following is a DFT calculation (PBE) of a relaxed structure of HfCuTc.

- Symmetry: F-43m, No. 216

a = 4.2988 Å, b = 4.2988 Å, c = 4.2988 Å
α = 60.00°, β = 60.00°, γ = 60.00°
With the nearest neighbours (Å) after each atom.
Positions (direct):
1 Cu 0.5000 0.5000 0.5000  4 Hf 2.63
2 Hf 0.2500 0.2500 0.2500  4 Tc 2.63, 4 Cu 2.63
3 Tc 0.0000 0.0000 0.0000  4 Hf 2.63

***

Relative energies in meV/atom: a 0; b 417

***

a:
The following is a DFT calculation (PBE) of a relaxed structure of Cu7Hg.

- Symmetry: P4/nmm, No. 129

a = 2.6620 Å, b = 2.6620 Å, c = 40.0007 Å
α = 90.00°, β = 90.00°, γ = 90.00°
With the nearest neighbours (Å) after each atom.
Positions (direct):
1 Cu 0.0000 0.5000 0.6052  12 Cu 2.52-2.66
2 Cu 0.5000 0.0000 0.4788  12 Cu 2.53-2.66
3 Cu 0.0000 0.5000 0.5212  12 Cu 2.53-2.66
4 Cu 0.0000 0.5000 0.3526  12 Cu 2.51-2.66
5 Hg 0.5000 0.0000 0.8308  4 Hg 2.66
6 Cu 0.5000 0.0000 0.3948  12 Cu 2.52-2.66
7 Cu 0.5000 0.0000 0.7311  12 Cu 2.52-2.66
8 Cu 0.0000 0.5000 0.6888  12 Cu 2.51-2.66
9 Cu 0.5000 0.0000 0.6474  12 Cu 2.51-2.66
10 Cu 0.0000 0.5000 0.2689  12 Cu 2.52-2.66
11 Hg 0.0000 0.5000 0.1692  4 Hg 2.66
12 Cu 0.0000 0.5000 0.7728  8 Cu 2.52-2.66
13 Cu 0.5000 0.0000 0.5633  12 Cu 2.52-2.66
14 Cu 0.0000 0.5000 0.4367  12 Cu 2.52-2.66
15 Cu 0.5000 0.0000 0.2272  8 Cu 2.52-2.66
16 Cu 0.5000 0.0000 0.3112  12 Cu 2.51-2.66

***

b:
The following is a DFT calculation (PBE) of a relaxed structure of Cu7Hg.

- Symmetry: Pmmn, No. 59

a = 2.5952 Å, b = 3.4779 Å, c = 32.5209 Å
α = 90.00°, β = 90.00°, γ = 90.00°
With the nearest neighbours (Å) after each atom.
Positions (direct):
1 Cu 0.0000 0.0000 0.8617  12 Cu 2.52-2.60
2 Cu 0.0000 0.0000 0.2577  7 Cu 2.53-2.60
3 Cu 0.5000 0.5000 0.2179  11 Cu 2.52-2.60
4 Hg 0.0000 0.0000 0.6837  2 Hg 2.60, 4 Cu 2.89
5 Cu 0.0000 0.0000 0.9410  12 Cu 2.52-2.60
6 Cu 0.5000 0.5000 0.9804  12 Cu 2.52-2.60
7 Cu 0.5000 0.5000 0.1383  12 Cu 2.52-2.60
8 Cu 0.0000 0.0000 0.0986  12 Cu 2.52-2.60
9 Cu 0.5000 0.5000 0.9014  12 Cu 2.52-2.60
10 Cu 0.0000 0.0000 0.0196  12 Cu 2.52-2.60
11 Cu 0.5000 0.5000 0.8215  12 Cu 2.52-2.60
12 Cu 0.5000 0.5000 0.0590  12 Cu 2.52-2.60
13 Cu 0.0000 0.0000 0.7821  11 Cu 2.52-2.60
14 Cu 0.0000 0.0000 0.1785  12 Cu 2.52-2.60
15 Hg 0.5000 0.5000 0.3163  2 Hg 2.60, 4 Cu 2.89
16 Cu 0.5000 0.5000 0.7423  7 Cu 2.53-2.60

***

Relative energies in meV/atom: a 9; b 0

***

a:
The following is a DFT calculation (PBE) of a relaxed structure of InCuTcHg.

- Symmetry: F-43m, No. 216

a = 4.6406 Å, b = 4.6406 Å, c = 4.6406 Å
α = 60.00°, β = 60.00°, γ = 60.00°
With the nearest neighbours (Å) after each atom.
Positions (direct):
1 Tc 0.5000 0.5000 0.5000  4 Hg 2.84, 4 Cu 2.84
2 Hg 0.2500 0.2500 0.2500  4 Tc 2.84, 4 In 2.84
3 Cu 0.7500 0.7500 0.7500  4 In 2.84, 4 Tc 2.84
4 In 0.0000 0.0000 0.0000  4 Hg 2.84, 4 Cu 2.84

***

b:
The following is a DFT calculation (PBE) of a relaxed structure of InCuTcHg.

- Symmetry: F-43m, No. 216

a = 4.6200 Å, b = 4.6200 Å, c = 4.6200 Å
α = 60.00°, β = 60.00°, γ = 60.00°
With the nearest neighbours (Å) after each atom.
Positions (direct):
1 Tc 0.2500 0.2500 0.2500  4 Hg 2.83, 4 In 2.83
2 In 0.0000 0.0000 0.0000  4 Cu 2.83, 4 Tc 2.83
3 Cu 0.7500 0.7500 0.7500  4 In 2.83, 4 Hg 2.83
4 Hg 0.5000 0.5000 0.5000  4 Cu 2.83, 4 Tc 2.83

***

Relative energies in meV/atom: a 155; b 0

***

a:
The following is a DFT calculation (PBE) of a relaxed structure of ZrInCuHg.

- Symmetry: F-43m, No. 216

a = 4.8152 Å, b = 4.8152 Å, c = 4.8152 Å
α = 60.00°, β = 60.00°, γ = 60.00°
With the nearest neighbours (Å) after each atom.
Positions (direct):
1 Cu 0.7500 0.7500 0.7500  4 In 2.95, 4 Zr 2.95
2 Zr 0.5000 0.5000 0.5000  4 Hg 2.95, 4 Cu 2.95
3 Hg 0.2500 0.2500 0.2500  4 Zr 2.95, 4 In 2.95
4 In 0.0000 0.0000 0.0000  4 Hg 2.95, 4 Cu 2.95

***

b:
The following is a DFT calculation (PBE) of a relaxed structure of ZrInCuHg.

- Symmetry: F-43m, No. 216

a = 4.8317 Å, b = 4.8317 Å, c = 4.8317 Å
α = 60.00°, β = 60.00°, γ = 60.00°
With the nearest neighbours (Å) after each atom.
Positions (direct):
1 In 0.0000 0.0000 0.0000  4 Zr 2.96, 4 Cu 2.96
2 Hg 0.5000 0.5000 0.5000  4 Cu 2.96, 4 Zr 2.96
3 Zr 0.2500 0.2500 0.2500  4 In 2.96, 4 Hg 2.96
4 Cu 0.7500 0.7500 0.7500  4 Hg 2.96, 4 In 2.96

***

Relative energies in meV/atom: a 0; b 28

***

a:
The following is a DFT calculation (PBE) of a relaxed structure of LuCuHgSb.

- Symmetry: F-43m, No. 216

a = 4.9940 Å, b = 4.9940 Å, c = 4.9940 Å
α = 60.00°, β = 60.00°, γ = 60.00°
With the nearest neighbours (Å) after each atom.
Positions (direct):
1 Cu 0.7500 0.7500 0.7500  4 Hg 3.06, 4 Sb 3.06
2 Hg 0.5000 0.5000 0.5000  4 Cu 3.06, 4 Lu 3.06
3 Lu 0.2500 0.2500 0.2500  4 Hg 3.06, 4 Sb 3.06
4 Sb 0.0000 0.0000 0.0000  4 Cu 3.06, 4 Lu 3.06

***

b:
The following is a DFT calculation (PBE) of a relaxed structure of LuCuHgSb.

- Symmetry: F-43m, No. 216

a = 4.9972 Å, b = 4.9972 Å, c = 4.9972 Å
α = 60.00°, β = 60.00°, γ = 60.00°
With the nearest neighbours (Å) after each atom.
Positions (direct):
1 Lu 0.5000 0.5000 0.5000  4 Hg 3.06, 4 Cu 3.06
2 Sb 0.0000 0.0000 0.0000  4 Cu 3.06, 4 Hg 3.06
3 Hg 0.2500 0.2500 0.2500  4 Lu 3.06, 4 Sb 3.06
4 Cu 0.7500 0.7500 0.7500  4 Sb 3.06, 4 Lu 3.06

***

Relative energies in meV/atom: a 0; b 54

***

a:
The following is a DFT calculation (PBE) of a relaxed structure of MgTlCuHg.

- Symmetry: F-43m, No. 216

a = 4.9382 Å, b = 4.9382 Å, c = 4.9382 Å
α = 60.00°, β = 60.00°, γ = 60.00°
With the nearest neighbours (Å) after each atom.
Positions (direct):
1 Cu 0.7500 0.7500 0.7500  4 Tl 3.02, 4 Mg 3.02
2 Tl 0.0000 0.0000 0.0000  4 Hg 3.02, 4 Cu 3.02
3 Mg 0.5000 0.5000 0.5000  4 Hg 3.02, 4 Cu 3.02
4 Hg 0.2500 0.2500 0.2500  4 Mg 3.02, 4 Tl 3.02

***

b:
The following is a DFT calculation (PBE) of a relaxed structure of MgTlCuHg.

- Symmetry: F-43m, No. 216

a = 4.8723 Å, b = 4.8723 Å, c = 4.8723 Å
α = 60.00°, β = 60.00°, γ = 60.00°
With the nearest neighbours (Å) after each atom.
Positions (direct):
1 Cu 0.7500 0.7500 0.7500  4 Hg 2.98, 4 Tl 2.98
2 Mg 0.2500 0.2500 0.2500  4 Hg 2.98, 4 Tl 2.98
3 Tl 0.0000 0.0000 0.0000  4 Cu 2.98, 4 Mg 2.98
4 Hg 0.5000 0.5000 0.5000  4 Cu 2.98, 4 Mg 2.98

***

Relative energies in meV/atom: a 44; b 0

***

a:
The following is a DFT calculation (PBE) of a relaxed structure of CuSiHgMo.

- Symmetry: F-43m, No. 216

a = 4.5769 Å, b = 4.5769 Å, c = 4.5769 Å
α = 60.00°, β = 60.00°, γ = 60.00°
With the nearest neighbours (Å) after each atom.
Positions (direct):
1 Mo 0.5000 0.5000 0.5000  4 Cu 2.80, 4 Hg 2.80
2 Cu 0.7500 0.7500 0.7500  4 Si 2.80, 4 Mo 2.80
3 Si 0.0000 0.0000 0.0000  4 Cu 2.80, 4 Hg 2.80
4 Hg 0.2500 0.2500 0.2500  4 Mo 2.80, 4 Si 2.80

***

b:
The following is a DFT calculation (PBE) of a relaxed structure of CuSiHgMo.

- Symmetry: F-43m, No. 216

a = 4.4571 Å, b = 4.4571 Å, c = 4.4571 Å
α = 60.00°, β = 60.00°, γ = 60.00°
With the nearest neighbours (Å) after each atom.
Positions (direct):
1 Si 0.0000 0.0000 0.0000  4 Mo 2.73, 4 Cu 2.73
2 Hg 0.5000 0.5000 0.5000  4 Cu 2.73, 4 Mo 2.73
3 Cu 0.7500 0.7500 0.7500  4 Hg 2.73, 4 Si 2.73
4 Mo 0.2500 0.2500 0.2500  4 Si 2.73, 4 Hg 2.73

***

Relative energies in meV/atom: a 357; b 0

***

a:
The following is a DFT calculation (PBE) of a relaxed structure of TlCuHgMo.

- Symmetry: F-43m, No. 216

a = 4.7371 Å, b = 4.7371 Å, c = 4.7371 Å
α = 60.00°, β = 60.00°, γ = 60.00°
With the nearest neighbours (Å) after each atom.
Positions (direct):
1 Tl 0.0000 0.0000 0.0000  4 Mo 2.90, 4 Cu 2.90
2 Hg 0.5000 0.5000 0.5000  4 Mo 2.90, 4 Cu 2.90
3 Mo 0.2500 0.2500 0.2500  4 Hg 2.90, 4 Tl 2.90
4 Cu 0.7500 0.7500 0.7500  4 Hg 2.90, 4 Tl 2.90

***

b:
The following is a DFT calculation (PBE) of a relaxed structure of TlCuHgMo.

- Symmetry: F-43m, No. 216

a = 4.7792 Å, b = 4.7792 Å, c = 4.7792 Å
α = 60.00°, β = 60.00°, γ = 60.00°
With the nearest neighbours (Å) after each atom.
Positions (direct):
1 Mo 0.5000 0.5000 0.5000  4 Hg 2.93, 4 Cu 2.93
2 Hg 0.2500 0.2500 0.2500  4 Mo 2.93, 4 Tl 2.93
3 Tl 0.0000 0.0000 0.0000  4 Cu 2.93, 4 Hg 2.93
4 Cu 0.7500 0.7500 0.7500  4 Tl 2.93, 4 Mo 2.93

***

Relative energies in meV/atom: a 0; b 122

***

a:
The following is a DFT calculation (PBE) of a relaxed structure of ZnCuHgMo.

- Symmetry: F-43m, No. 216

a = 4.5197 Å, b = 4.5197 Å, c = 4.5197 Å
α = 60.00°, β = 60.00°, γ = 60.00°
With the nearest neighbours (Å) after each atom.
Positions (direct):
1 Hg 0.2500 0.2500 0.2500  4 Mo 2.77, 4 Zn 2.77
2 Zn 0.0000 0.0000 0.0000  4 Cu 2.77, 4 Hg 2.77
3 Mo 0.5000 0.5000 0.5000  4 Hg 2.77, 4 Cu 2.77
4 Cu 0.7500 0.7500 0.7500  4 Zn 2.77, 4 Mo 2.77

***

b:
The following is a DFT calculation (PBE) of a relaxed structure of ZnCuHgMo.

- Symmetry: F-43m, No. 216

a = 4.5152 Å, b = 4.5152 Å, c = 4.5152 Å
α = 60.00°, β = 60.00°, γ = 60.00°
With the nearest neighbours (Å) after each atom.
Positions (direct):
1 Mo 0.2500 0.2500 0.2500  4 Hg 2.76, 4 Zn 2.76
2 Hg 0.5000 0.5000 0.5000  4 Mo 2.76, 4 Cu 2.76
3 Zn 0.0000 0.0000 0.0000  4 Cu 2.76, 4 Mo 2.76
4 Cu 0.7500 0.7500 0.7500  4 Zn 2.76, 4 Hg 2.76

***

Relative energies in meV/atom: a 38; b 0

***

a:
The following is a DFT calculation (PBE) of a relaxed structure of NaCuHg.

- Symmetry: F-43m, No. 216

a = 4.5660 Å, b = 4.5660 Å, c = 4.5660 Å
α = 60.00°, β = 60.00°, γ = 60.00°
With the nearest neighbours (Å) after each atom.
Positions (direct):
1 Cu 0.0000 0.0000 0.0000  4 Na 2.80, 4 Hg 2.80
2 Hg 0.2500 0.2500 0.2500  4 Cu 2.80
3 Na 0.7500 0.7500 0.7500  4 Cu 2.80

***

b:
The following is a DFT calculation (PBE) of a relaxed structure of NaCuHg.

- Symmetry: F-43m, No. 216

a = 4.6992 Å, b = 4.6992 Å, c = 4.6992 Å
α = 60.00°, β = 60.00°, γ = 60.00°
With the nearest neighbours (Å) after each atom.
Positions (direct):
1 Hg 0.7500 0.7500 0.7500  4 Na 2.88
2 Cu 0.2500 0.2500 0.2500  4 Na 2.88
3 Na 0.0000 0.0000 0.0000  4 Cu 2.88, 4 Hg 2.88

***

Relative energies in meV/atom: a 0; b 262

***

a:
The following is a DFT calculation (PBE) of a relaxed structure of NbCuHgSb.

- Symmetry: F-43m, No. 216

a = 4.8468 Å, b = 4.8468 Å, c = 4.8468 Å
α = 60.00°, β = 60.00°, γ = 60.00°
With the nearest neighbours (Å) after each atom.
Positions (direct):
1 Hg 0.2500 0.2500 0.2500  4 Sb 2.97, 4 Nb 2.97
2 Cu 0.7500 0.7500 0.7500  4 Sb 2.97, 4 Nb 2.97
3 Sb 0.0000 0.0000 0.0000  4 Hg 2.97, 4 Cu 2.97
4 Nb 0.5000 0.5000 0.5000  4 Hg 2.97, 4 Cu 2.97

***

b:
The following is a DFT calculation (PBE) of a relaxed structure of NbCuHgSb.

- Symmetry: F-43m, No. 216

a = 4.7720 Å, b = 4.7720 Å, c = 4.7720 Å
α = 60.00°, β = 60.00°, γ = 60.00°
With the nearest neighbours (Å) after each atom.
Positions (direct):
1 Hg 0.5000 0.5000 0.5000  4 Nb 2.92, 4 Cu 2.92
2 Cu 0.7500 0.7500 0.7500  4 Hg 2.92, 4 Sb 2.92
3 Sb 0.0000 0.0000 0.0000  4 Nb 2.92, 4 Cu 2.92
4 Nb 0.2500 0.2500 0.2500  4 Sb 2.92, 4 Hg 2.92

***

Relative energies in meV/atom: a 261; b 0